Material: TaRe2O8
Method: DFT, GGA-PBE
State: relaxed

Calculated values
- Crystal system: monoclinic

Lattice parameters (Å, degrees): 5.628 5.628 4.907 101.53 101.53 59.73
Element x y z (fractional)
Ta (0.000, 0.000, 0.000)
Re (0.261, 0.261, 0.509)
Re (0.739, 0.739, 0.491)
O (0.112, 0.637, 0.748)
O (0.132, 0.132, 0.751)
O (0.363, 0.888, 0.252)
O (0.372, 0.372, 0.278)
O (0.628, 0.628, 0.722)
O (0.637, 0.112, 0.748)
O (0.868, 0.868, 0.249)
O (0.888, 0.363, 0.252)

***

Material: TaReO2
Method: DFT, GGA-PBE
State: relaxed

Calculated values
- Distance to the lowest polymorph of the same formula: 0.0 meV/atom
- Crystal system: trigonal

Lattice parameters (Å, degrees): 7.130 7.130 7.130 22.47 22.47 22.47
Element x y z (fractional)
Ta (0.000, 0.000, 0.000)
Re (0.500, 0.500, 0.500)
O (0.403, 0.403, 0.403)
O (0.597, 0.597, 0.597)

***

Material: TaReO6
Method: DFT, GGA-PBE
State: relaxed

Calculated values
- Crystal system: monoclinic

Lattice parameters (Å, degrees): 5.428 7.644 5.472 90.00 90.20 90.00
Element x y z (fractional)
Ta (0.000, 0.000, 0.000)
Ta (0.000, 0.500, 0.000)
Re (0.500, 0.000, 0.500)
Re (0.500, 0.500, 0.500)
O (0.050, 0.250, 0.011)
O (0.259, 0.517, 0.740)
O (0.259, 0.527, 0.259)
O (0.259, 0.973, 0.259)
O (0.259, 0.983, 0.740)
O (0.456, 0.250, 0.490)
O (0.544, 0.750, 0.510)
O (0.741, 0.017, 0.260)
O (0.741, 0.027, 0.741)
O (0.741, 0.473, 0.741)
O (0.741, 0.483, 0.260)
O (0.950, 0.750, 0.989)

***

Material: Ta3ReO
Method: DFT, GGA-PBE
State: relaxed

Calculated values
- Distance to the lowest polymorph of the same formula: 0.0 meV/atom
- Crystal system: cubic

Lattice parameters (Å, degrees): 4.229 4.229 4.229 90.00 90.00 90.00
Element x y z (fractional)
Ta (0.000, 0.000, 0.500)
Ta (0.000, 0.500, 0.000)
Ta (0.500, 0.000, 0.000)
Re (0.500, 0.500, 0.500)
O (0.000, 0.000, 0.000)

***

Material: TaReO3
Method: DFT, GGA-PBE
State: relaxed

Calculated values
- Crystal system: cubic

Lattice parameters (Å, degrees): 4.000 4.000 4.000 90.00 90.00 90.00
Element x y z (fractional)
Ta (0.000, 0.000, 0.000)
Re (0.500, 0.500, 0.500)
O (0.000, 0.000, 0.500)
O (0.000, 0.500, 0.000)
O (0.500, 0.000, 0.000)

***

Material: TaReO2
Method: DFT, GGA-PBE
State: relaxed

Calculated values
- Distance to the lowest polymorph of the same formula: 364.4 meV/atom
- Crystal system: tetragonal

Lattice parameters (Å, degrees): 6.968 6.968 6.968 147.36 147.36 46.84
Element x y z (fractional)
Ta (0.000, 0.000, 0.000)
Ta (0.750, 0.250, 0.500)
Re (0.250, 0.750, 0.500)
Re (0.500, 0.500, 0.000)
O (0.124, 0.625, 0.999)
O (0.375, 0.374, 0.499)
O (0.626, 0.125, 0.001)
O (0.875, 0.876, 0.501)

***

Material: TaReO2
Method: DFT, GGA-PBE
State: relaxed

Calculated values
- Distance to the lowest polymorph of the same formula: 1344.0 meV/atom
- Crystal system: cubic

Lattice parameters (Å, degrees): 4.007 4.007 4.007 60.00 60.00 60.00
Element x y z (fractional)
Ta (0.000, 0.000, 0.000)
Re (0.500, 0.500, 0.500)
O (0.250, 0.250, 0.250)
O (0.750, 0.750, 0.750)

***

Material: TaTlReO6
Method: DFT, GGA-PBE
State: relaxed

Calculated values
- Crystal system: orthorhombic

Lattice parameters (Å, degrees): 7.377 7.377 7.377 120.58 119.65 89.80
Element x y z (fractional)
Ta (0.000, 0.000, 0.000)
Ta (0.500, 0.000, 0.500)
Tl (0.381, 0.631, 0.750)
Tl (0.619, 0.369, 0.250)
Re (0.000, 0.000, 0.500)
Re (0.000, 0.500, 0.000)
O (0.050, 0.300, 0.750)
O (0.058, 0.321, 0.128)
O (0.058, 0.929, 0.737)
O (0.308, 0.071, 0.628)
O (0.308, 0.679, 0.237)
O (0.315, 0.065, 0.250)
O (0.685, 0.935, 0.750)
O (0.692, 0.321, 0.763)
O (0.692, 0.929, 0.372)
O (0.942, 0.071, 0.263)
O (0.942, 0.679, 0.872)
O (0.950, 0.700, 0.250)

***

Material: Y2TaReO
Method: DFT, GGA-PBE
State: relaxed

Calculated values
- Crystal system: tetragonal

Lattice parameters (Å, degrees): 5.590 5.590 4.557 90.00 90.00 90.00
Element x y z (fractional)
Y (0.000, 0.500, 0.000)
Y (0.500, 0.000, 0.000)
Ta (0.000, 0.000, 0.000)
Re (0.000, 0.000, 0.500)
O (0.500, 0.500, 0.500)

***

Material: Zr2TaReO
Method: DFT, GGA-PBE
State: relaxed

Calculated values
- Crystal system: tetragonal

Lattice parameters (Å, degrees): 5.279 5.279 3.747 90.00 90.00 90.00
Element x y z (fractional)
Zr (0.000, 0.500, 0.000)
Zr (0.500, 0.000, 0.000)
Ta (0.000, 0.000, 0.000)
Re (0.500, 0.500, 0.500)
O (0.000, 0.000, 0.500)

***

Material: ZrTaRe2O
Method: DFT, GGA-PBE
State: relaxed

Calculated values
- Crystal system: tetragonal

Lattice parameters (Å, degrees): 5.014 5.014 3.798 90.00 90.00 90.00
Element x y z (fractional)
Zr (0.000, 0.000, 0.000)
Ta (0.500, 0.500, 0.500)
Re (0.000, 0.500, 0.500)
Re (0.500, 0.000, 0.500)
O (0.500, 0.500, 0.000)

***

Material: Tb4Re6O19
Method: DFT, GGA-PBE
State: relaxed

Calculated values
- Crystal system: cubic

Lattice parameters (Å, degrees): 7.806 7.806 7.806 109.47 109.47 109.47
Element x y z (fractional)
Tb (0.000, 0.000, 0.294)
Tb (0.000, 0.294, 0.000)
Tb (0.294, 0.000, 0.000)
Tb (0.706, 0.706, 0.706)
Re (0.134, 0.500, 0.634)
Re (0.366, 0.866, 0.500)
Re (0.500, 0.366, 0.866)
Re (0.500, 0.634, 0.134)
Re (0.634, 0.134, 0.500)
Re (0.866, 0.500, 0.366)
O (0.000, 0.000, 0.000)
O (0.000, 0.315, 0.315)
O (0.000, 0.685, 0.685)
O (0.056, 0.738, 0.357)
O (0.262, 0.318, 0.619)
O (0.301, 0.682, 0.944)
O (0.315, 0.000, 0.315)
O (0.315, 0.315, 0.000)
O (0.318, 0.619, 0.262)
O (0.357, 0.056, 0.738)
O (0.381, 0.699, 0.643)
O (0.619, 0.262, 0.318)
O (0.643, 0.381, 0.699)
O (0.682, 0.944, 0.301)
O (0.685, 0.000, 0.685)
O (0.685, 0.685, 0.000)
O (0.699, 0.643, 0.381)
O (0.738, 0.357, 0.056)
O (0.944, 0.301, 0.682)

***

Material: TbRe2O8
Method: DFT, GGA-PBE
State: relaxed

Calculated values
- Distance to the lowest polymorph of the same formula: 0.0 meV/atom
- Crystal system: cubic

Lattice parameters (Å, degrees): 6.779 6.779 6.779 60.00 60.00 60.00
Element x y z (fractional)
Tb (0.000, 0.000, 0.000)
Re (0.250, 0.250, 0.250)
Re (0.750, 0.750, 0.750)
O (0.144, 0.144, 0.144)
O (0.144, 0.144, 0.569)
O (0.144, 0.569, 0.144)
O (0.431, 0.856, 0.856)
O (0.569, 0.144, 0.144)
O (0.856, 0.431, 0.856)
O (0.856, 0.856, 0.431)
O (0.856, 0.856, 0.856)

***

Material: TbRe2O8
Method: DFT, GGA-PBE
State: relaxed

Calculated values
- Distance to the lowest polymorph of the same formula: 151.9 meV/atom
- Crystal system: monoclinic

Lattice parameters (Å, degrees): 6.479 6.479 5.789 101.11 101.11 60.50
Element x y z (fractional)
Tb (0.000, 0.000, 0.000)
Re (0.191, 0.191, 0.671)
Re (0.809, 0.809, 0.329)
O (0.078, 0.677, 0.190)
O (0.138, 0.138, 0.354)
O (0.323, 0.922, 0.810)
O (0.350, 0.350, 0.758)
O (0.650, 0.650, 0.242)
O (0.677, 0.078, 0.190)
O (0.862, 0.862, 0.646)
O (0.922, 0.323, 0.810)

***

Material: TbReO5
Method: DFT, GGA-PBE
State: relaxed

Calculated values
- Crystal system: monoclinic

Lattice parameters (Å, degrees): 5.526 5.526 7.570 110.09 110.09 70.80
Element x y z (fractional)
Tb (0.051, 0.949, 0.750)
Tb (0.949, 0.051, 0.250)
Re (0.500, 0.500, 0.000)
Re (0.500, 0.500, 0.500)
O (0.198, 0.777, 0.037)
O (0.223, 0.802, 0.463)
O (0.257, 0.294, 0.384)
O (0.294, 0.257, 0.884)
O (0.427, 0.573, 0.750)
O (0.573, 0.427, 0.250)
O (0.706, 0.743, 0.116)
O (0.743, 0.706, 0.616)
O (0.777, 0.198, 0.537)
O (0.802, 0.223, 0.963)

***

Material: Tb2ReO8
Method: DFT, GGA-PBE
State: relaxed

Calculated values
- Crystal system: monoclinic

Lattice parameters (Å, degrees): 7.270 7.270 4.903 104.93 104.93 30.40
Element x y z (fractional)
Tb (0.179, 0.179, 0.177)
Tb (0.821, 0.821, 0.823)
Re (0.500, 0.500, 0.500)
O (0.018, 0.018, 0.715)
O (0.241, 0.241, 0.798)
O (0.371, 0.371, 0.495)
O (0.457, 0.457, 0.047)
O (0.543, 0.543, 0.953)
O (0.629, 0.629, 0.505)
O (0.759, 0.759, 0.202)
O (0.982, 0.982, 0.285)

***

Material: Tb2ReO
Method: DFT, GGA-PBE
State: relaxed

Calculated values
- Crystal system: trigonal

Lattice parameters (Å, degrees): 8.778 8.778 8.778 20.71 20.71 20.71
Element x y z (fractional)
Tb (0.107, 0.107, 0.107)
Tb (0.893, 0.893, 0.893)
Re (0.000, 0.000, 0.000)
O (0.500, 0.500, 0.500)

***

Material: Tb6ReO12
Method: DFT, GGA-PBE
State: relaxed

Calculated values
- Crystal system: trigonal

Lattice parameters (Å, degrees): 6.514 6.514 6.514 98.67 98.67 98.67
Element x y z (fractional)
Tb (0.111, 0.814, 0.644)
Tb (0.186, 0.356, 0.889)
Tb (0.356, 0.889, 0.186)
Tb (0.644, 0.111, 0.814)
Tb (0.814, 0.644, 0.111)
Tb (0.889, 0.186, 0.356)
Re (0.500, 0.500, 0.500)
O (0.066, 0.909, 0.323)
O (0.091, 0.677, 0.934)
O (0.206, 0.426, 0.536)
O (0.323, 0.066, 0.909)
O (0.426, 0.536, 0.206)
O (0.464, 0.794, 0.574)
O (0.536, 0.206, 0.426)
O (0.574, 0.464, 0.794)
O (0.677, 0.934, 0.091)
O (0.794, 0.574, 0.464)
O (0.909, 0.323, 0.066)
O (0.934, 0.091, 0.677)

***

Material: TbTl2Re3O12
Method: DFT, GGA-PBE
State: relaxed

Calculated values
- Crystal system: trigonal

Lattice parameters (Å, degrees): 7.616 7.616 7.616 58.21 58.21 58.21
Element x y z (fractional)
Tb (0.000, 0.000, 0.000)
Tl (0.342, 0.342, 0.342)
Tl (0.658, 0.658, 0.658)
Re (0.000, 0.000, 0.500)
Re (0.000, 0.500, 0.000)
Re (0.500, 0.000, 0.000)
O (0.068, 0.700, 0.700)
O (0.077, 0.077, 0.640)
O (0.077, 0.640, 0.077)
O (0.300, 0.300, 0.932)
O (0.300, 0.932, 0.300)
O (0.360, 0.923, 0.923)
O (0.640, 0.077, 0.077)
O (0.700, 0.068, 0.700)
O (0.700, 0.700, 0.068)
O (0.923, 0.360, 0.923)
O (0.923, 0.923, 0.360)
O (0.932, 0.300, 0.300)

***

Material: TbTlReO6
Method: DFT, GGA-PBE
State: relaxed

Calculated values
- Crystal system: trigonal

Lattice parameters (Å, degrees): 5.624 5.624 4.972 90.00 90.00 120.00
Element x y z (fractional)
Tb (0.000, 0.000, 0.000)
Tl (0.333, 0.667, 0.500)
Re (0.667, 0.333, 0.000)
O (0.379, 0.061, 0.783)
O (0.379, 0.318, 0.217)
O (0.682, 0.061, 0.217)
O (0.682, 0.621, 0.783)
O (0.939, 0.318, 0.783)
O (0.939, 0.621, 0.217)

***

Formation energy from raw total energies / eV/f.u.: -18.7 -5.1 -16.4 -2.4 -4.1 -3.7 0.2 -17.4 6.2 3.0 3.2 -63.0 -22.5 -20.8 -15.8 -20.1 -2.4 -60.2 -30.5 -16.5